[1]
Material: Ag2BiRh
Method: DFT, PBE
State: optimized geometry

```
Ag2BiRh
1.0
-3.9360 3.9360 2.6998
3.9360 -3.9360 2.6998
3.9360 3.9360 -2.6998
Ag Bi Rh
4 2 2
Cartesian
1.9680 1.7931 -0.6749 Ag
2.1428 -1.9680 3.3747 Ag
1.9680 2.1428 2.0248 Ag
1.7931 5.9039 0.6749 Ag
3.9360 0.0000 1.3499 Bi
0.0000 0.0000 2.6998 Bi
0.0000 0.0000 0.0000 Rh
0.0000 3.9360 1.3499 Rh
```

Output
Space group: I-42d (122)
Total magnetization, μB/cell: 0.0
E_form, eV per atom: 0.320


[2]
Material: BaMnAs2Pd
Method: DFT, PBE
State: optimized geometry

```
BaMnAs2Pd
1.0
-2.1209 2.1209 6.2913
2.1209 -2.1209 6.2913
2.1209 2.1209 -6.2913
Ba Mn As Pd
1 1 2 1
Cartesian
0.0000 0.0000 0.0000 Ba
2.1209 0.0000 3.1457 Mn
0.0000 0.0000 4.5071 As
0.0000 0.0000 8.0756 As
0.0000 2.1209 3.1457 Pd
```

Output
Space group: I-4m2 (119)
Total magnetization, μB/cell: 3.1
E_form, eV per atom: -0.683


[3]
Material: La2TbNd5Th
Method: DFT, PBE
State: optimized geometry

```
La2TbNd5Th
1.0
2.8866 -10.3411 0.0000
2.8866 10.3411 0.0000
0.0000 0.0000 10.7350
La Tb Nd Th
4 2 10 2
Cartesian
2.8866 7.9566 5.3675 La
2.8866 7.9281 0.8969 La
2.8866 -7.9281 6.2644 La
2.8866 -7.9566 0.0000 La
2.8866 1.9500 2.4326 Tb
2.8866 -1.9500 7.8001 Tb
2.8866 10.0116 8.4506 Nd
2.8866 4.6434 0.8718 Nd
2.8866 4.2707 5.0522 Nd
2.8866 2.3564 8.4934 Nd
2.8866 0.3675 5.4785 Nd
2.8866 -0.3675 0.1110 Nd
2.8866 -2.3564 3.1259 Nd
2.8866 -4.2707 10.4197 Nd
2.8866 -4.6434 6.2393 Nd
2.8866 -10.0116 3.0831 Nd
2.8866 6.2164 8.3530 Th
2.8866 -6.2164 2.9855 Th
```

Output
Space group: Cmc2_1 (36)
Total magnetization, μB/cell: 0.0
E_form, eV per atom: 0.141


Please write out number 2 again, unchanged.
Material: BaMnAs2Pd
Method: DFT, PBE
State: optimized geometry

```
BaMnAs2Pd
1.0
-2.1209 2.1209 6.2913
2.1209 -2.1209 6.2913
2.1209 2.1209 -6.2913
Ba Mn As Pd
1 1 2 1
Cartesian
0.0000 0.0000 0.0000 Ba
2.1209 0.0000 3.1457 Mn
0.0000 0.0000 4.5071 As
0.0000 0.0000 8.0756 As
0.0000 2.1209 3.1457 Pd
```

Output
Space group: I-4m2 (119)
Total magnetization, μB/cell: 3.1
E_form, eV per atom: -0.683